Entry 1:
RbZrCu2Sb: optimized geometry, GGA-PBE.

Results
Formation energy (no corrections), eV/atom: 1.187
E, eV per atom: -3.179
SG: P4/mmm

Geometry as POSCAR:
```
RbZrCu2Sb
1.0
4.959 0.000 0.000
0.000 6.376 0.000
0.000 0.000 4.959
Sb Cu Rb Zr
1 2 1 1
Cartesian
0.000 0.000 0.000
0.000 0.000 2.479
2.479 0.000 0.000
0.000 3.188 0.000
2.479 3.188 2.479
```

Entry 2:
RbScCu3: optimized geometry, GGA-PBE.

Results
Energy above the lowest structure with this stoichiometry, meV per atom: 0.0
Energy of formation from the pure elements, kcal/mol of atoms: 15.8
E, eV per atom: -3.234
SG: Pm-3m

Geometry as POSCAR:
```
RbScCu3
1.0
5.180 0.000 0.000
0.000 5.180 0.000
0.000 0.000 5.180
Sc Cu Rb
1 3 1
Cartesian
0.000 0.000 0.000
0.000 2.590 0.000
0.000 0.000 2.590
2.590 0.000 0.000
2.590 2.590 2.590
```

Number 1: calculated density 4.5 Mg/m³. Number 2: calculated density 3.8 Mg/m³.